(1)
Crystalline Hf2AlSb at its relaxed geometry. Source: the Alexandria database, functional PBE.

Unit cell a=10.7780 b=10.7780 c=10.7780 alpha=16.83 beta=16.83 gamma=16.83
Last column: nearest neighbours and their distance in Å.
Fractional positions:
1 Hf 0.0879 0.0879 0.0879  1 Al 2.80, 3 Sb 3.10
2 Hf 0.9121 0.9121 0.9121  1 Al 2.80, 3 Sb 3.10
3 Al 0.0000 0.0000 0.0000  2 Hf 2.80
4 Sb 0.5000 0.5000 0.5000  6 Hf 3.10, 6 Sb 3.15

Computed properties:
For the energy above the most stable polymorph in this dataset, the calculation gives 349.7 meV/atom. The calculation puts the uncorrected formation energy at 0.252 eV per atom. Its density of states at the Fermi level is 0.84 states/eV/atom. Its mass density is 9.178 g cm⁻³. As for the space group: R-3m.

---

(2)
Crystalline MnBe2InSe at its relaxed geometry. Source: the Alexandria database, functional PBE.

Unit cell a=4.4452 b=4.4452 c=5.4480 alpha=90.00 beta=90.00 gamma=90.00
Last column: nearest neighbours and their distance in Å.
Fractional positions:
1 Mn 0.0000 0.0000 0.0000  2 In 2.72
2 Be 0.0000 0.5000 0.5000  2 In 2.22
3 Be 0.5000 0.0000 0.5000  2 In 2.22
4 In 0.0000 0.0000 0.5000  4 Be 2.22
5 Se 0.5000 0.5000 0.0000  4 Mn 3.14, 8 Be 3.52

Computed properties:
The calculation puts the uncorrected formation energy at 0.968 eV per atom. Its density of states at the Fermi level is 0.24 states/eV/atom. Its mass density is 4.115 g cm⁻³. As for the space group: P4/mmm.

---

(3)
Crystalline PmMgGe2Ir at its relaxed geometry. Source: the Alexandria database, functional PBE.

Unit cell a=6.3371 b=6.3371 c=6.3371 alpha=142.02 beta=142.02 gamma=54.79
Last column: nearest neighbours and their distance in Å.
Fractional positions:
1 Pm 0.0000 0.0000 0.0000  8 Ge 3.17, 4 Mg 3.49, 4 Ir 3.49
2 Mg 0.7500 0.2500 0.5000  4 Ge 2.58
3 Ge 0.3885 0.3885 0.0000  1 Ge 2.51, 2 Ir 2.58, 2 Mg 2.58
4 Ge 0.6115 0.6115 0.0000  1 Ge 2.51, 2 Mg 2.58, 2 Ir 2.58
5 Ir 0.2500 0.7500 0.5000  4 Ge 2.58

Computed properties:
The formation energy is -658 meV/atom. Its density of states at the Fermi level is 0.42 states/eV/atom. Its mass density is 8.795 g cm⁻³. As for the space group: I-4m2.

---

(4)
Crystalline Pu2NiAu at its relaxed geometry. Source: the Alexandria database, functional PBE.

Unit cell a=3.2696 b=3.2696 c=7.8810 alpha=90.00 beta=90.00 gamma=90.00
Last column: nearest neighbours and their distance in Å.
Fractional positions:
1 Pu 0.0000 0.0000 0.2217  4 Ni 2.90, 4 Au 3.19
2 Pu 0.0000 0.0000 0.7783  4 Ni 2.90, 4 Au 3.19
3 Ni 0.5000 0.5000 0.0000  8 Pu 2.90
4 Au 0.5000 0.5000 0.5000  8 Pu 3.19, 4 Au 3.27

Computed properties:
For the energy above the most stable polymorph in this dataset, the calculation gives 0.0 meV/atom. The formation energy is -208 meV/atom. Its density of states at the Fermi level is 3.69 states/eV/atom. Its mass density is 14.657 g cm⁻³. As for the space group: P4/mmm.

---

(5)
Crystalline MnZnFe4 at its relaxed geometry. Source: the Alexandria database, functional PBE.

Unit cell a=4.0657 b=4.0657 c=5.0036 alpha=90.00 beta=90.00 gamma=120.00
Last column: nearest neighbours and their distance in Å.
Fractional positions:
1 Mn 0.0000 0.0000 0.0000  2 Zn 2.50, 6 Fe 2.51
2 Zn 0.0000 0.0000 0.5000  2 Mn 2.50, 6 Fe 2.52
3 Fe 0.3333 0.6667 0.1762  5 Fe 2.45-2.55, 3 Mn 2.51
4 Fe 0.3333 0.6667 0.6854  5 Fe 2.45-2.55, 3 Zn 2.52
5 Fe 0.6667 0.3333 0.3146  5 Fe 2.45-2.55, 3 Zn 2.52
6 Fe 0.6667 0.3333 0.8238  5 Fe 2.45-2.55, 3 Mn 2.51

Computed properties:
For the energy above the most stable polymorph in this dataset, the calculation gives 0.0 meV/atom. The formation energy is 76 meV/atom. Its density of states at the Fermi level is 0.98 states/eV/atom. Its mass density is 7.968 g cm⁻³. As for the space group: P-3m1.

---

(6)
Crystalline Cs2TeAsF6 at its relaxed geometry. Source: the Alexandria database, functional PBE.

Unit cell a=6.7634 b=6.7634 c=6.7634 alpha=114.51 beta=114.51 gamma=99.81
Last column: nearest neighbours and their distance in Å.
Fractional positions:
1 Cs 0.2500 0.7500 0.5000  12 F 3.43-3.66
2 Cs 0.7500 0.2500 0.5000  12 F 3.43-3.66
3 Te 0.0000 0.0000 0.0000  2 F 2.20
4 As 0.5000 0.5000 0.0000  6 F 2.00-2.16
5 F 0.2522 0.2522 0.0000  1 As 2.16, 1 Te 2.20
6 F 0.3065 0.3065 0.6129  1 As 2.00
7 F 0.3065 0.6935 0.0000  1 As 2.00
8 F 0.6935 0.3065 0.0000  1 As 2.00
9 F 0.6935 0.6935 0.3871  1 As 2.00
10 F 0.7478 0.7478 0.0000  1 As 2.16, 1 Te 2.20

Computed properties:
The calculation puts the uncorrected formation energy at -2.040 eV per atom. Its density of states at the Fermi level is 0.51 states/eV/atom. Its mass density is 4.146 g cm⁻³. As for the space group: I4/mmm.